A plane-wave DFT calculation with PBE+U was carried out for a relaxed Cs2WCl4F2 crystal.

Output
**Uncorrected energy**: -76.147 eV for the cell shown
**Calculated volume**: 532.6 Å³ per cell
**ρ**: 3.9 g/cm3
**N(E_F)**: 0.0 states/eV per cell

abc: 12.091 7.432 6.055
angles: 90.00 101.79 90.00
Space group C2/m (No. 12)
Inequivalent atoms, fractional coordinates:
1 Cs 0.171 0.000 0.323 (multiplicity 4)
2 W 0.000 0.500 0.000 (multiplicity 2)
3 Cl 0.090 0.265 0.813 (multiplicity 8)
4 F 0.134 0.500 0.255 (multiplicity 4)